[1]
Computed, not measured: a relaxed HfAlGe crystal at the PBE level of DFT.

## Properties
DOS at the Fermi energy (states/eV per atom): 0.239
Formation energy from the elements (eV per atom): -0.342
Magnetic moment (μB per cell): 0.00
Energy (eV/atom): -6.447

Geometry as CIF:
```
data_HfAlGe
_cell_length_a 9.631
_cell_length_b 4.765
_cell_length_c 5.375
_cell_angle_alpha 90.00
_cell_angle_beta 118.39
_cell_angle_gamma 90.00
_symmetry_space_group_name_H-M 'C 1 2/m 1'
_symmetry_Int_Tables_number 12
_symmetry_space_group_name_Hall '-C 2y'
loop_
_atom_site_label
_atom_site_fract_x
_atom_site_fract_y
_atom_site_fract_z
_atom_site_occupancy
Hf1 0.186 0.000 0.217 1
Al1 0.001 0.500 0.755 1
Ge1 0.149 0.000 0.687 1
```

[2]
Computed, not measured: a relaxed HfAl4Ge crystal at the PBE level of DFT.

## Properties
DOS at the Fermi energy (states/eV per atom): 0.671
Formation energy from the elements (eV per atom): -0.093
Magnetic moment (μB per cell): 0.00
Energy (eV/atom): -5.016

Geometry as CIF:
```
data_HfAl4Ge
_cell_length_a 7.475
_cell_length_b 7.475
_cell_length_c 7.475
_cell_angle_alpha 90.00
_cell_angle_beta 90.00
_cell_angle_gamma 90.00
_symmetry_space_group_name_H-M 'F -4 3 m'
_symmetry_Int_Tables_number 216
_symmetry_space_group_name_Hall 'F -4 2 3'
loop_
_atom_site_label
_atom_site_fract_x
_atom_site_fract_y
_atom_site_fract_z
_atom_site_occupancy
Hf1 0.000 0.000 0.000 1
Al1 0.125 0.125 0.625 1
Ge1 0.250 0.250 0.250 1
```

[3]
Computed, not measured: a relaxed HfAlGe2 crystal at the PBE level of DFT.

## Properties
DOS at the Fermi energy (states/eV per atom): 0.463
Formation energy from the elements (eV per atom): -0.052
Magnetic moment (μB per cell): 0.00
Energy (eV/atom): -5.784

Geometry as CIF:
```
data_HfAlGe2
_cell_length_a 3.0416
_cell_length_b 3.0416
_cell_length_c 29.3311
_cell_angle_alpha 90.00
_cell_angle_beta 90.00
_cell_angle_gamma 120.00
_symmetry_space_group_name_H-M 'R -3 m'
_symmetry_Int_Tables_number 166
_symmetry_space_group_name_Hall '-R 3 2"'
loop_
_atom_site_label
_atom_site_fract_x
_atom_site_fract_y
_atom_site_fract_z
_atom_site_occupancy
Hf1 0.0000 0.0000 0.0000 1
Al1 0.0000 0.0000 0.5000 1
Ge1 0.0000 0.0000 0.4108 1
```

[4]
Computed, not measured: a relaxed Hf2AlGe crystal at the PBE level of DFT.

## Properties
DOS at the Fermi energy (states/eV per atom): 0.312
Formation energy from the elements (eV per atom): -0.254
Magnetic moment (μB per cell): 0.00
Energy (eV/atom): -7.321

Geometry as CIF:
```
data_Hf2AlGe
_cell_length_a 3.6829
_cell_length_b 3.6829
_cell_length_c 20.9839
_cell_angle_alpha 90.00
_cell_angle_beta 90.00
_cell_angle_gamma 120.00
_symmetry_space_group_name_H-M 'R -3 m'
_symmetry_Int_Tables_number 166
_symmetry_space_group_name_Hall '-R 3 2"'
loop_
_atom_site_label
_atom_site_fract_x
_atom_site_fract_y
_atom_site_fract_z
_atom_site_occupancy
Hf1 0.0000 0.0000 0.2440 1
Al1 0.0000 0.0000 0.0000 1
Ge1 0.0000 0.0000 0.5000 1
```

formation energy from the elements of number 2 (HfAl4Ge)? -0.093 eV per atom

Which formula does entry 4 have? Hf2AlGe

Which value of energy does entry 4 give? -7.321 eV/atom